1.
Below is an optimized crystal structure of LiAcHoTl, with properties calculated at the PBE-GGA level.

It has space group F-43m (No. 216), with a = 7.846 Å, b = 7.846 Å, c = 7.846 Å, α = 90.00°, β = 90.00° and γ = 90.00°. Symmetry generates all atoms from Li at (0.000, 0.000, 0.000), Ac at (0.250, 0.250, 0.250), Ho at (0.250, 0.250, 0.750) and Tl at (0.000, 0.000, 0.500).

The formation energy comes out at -0.139 eV/atom. The final energy is -3.381 eV/atom. The total magnetization comes out at 0.0 μB/cell.



2.
Below is an optimized crystal structure of KNiIN2, with properties calculated at the PBE-GGA level.

It has space group P4/mmm (No. 123), with a = 4.190 Å, b = 4.190 Å, c = 5.490 Å, α = 90.00°, β = 90.00° and γ = 90.00°. Symmetry generates all atoms from K at (0.000, 0.000, 0.000), Ni at (0.500, 0.500, 0.500), I at (0.500, 0.500, 0.000) and N at (0.000, 0.500, 0.500).

The uncorrected formation energy is 1.1805 eV per atom. The final energy is -3.835 eV/atom. The total magnetization comes out at 0.5 μB/cell. As for the energy above the most stable polymorph in this dataset: 0.0 meV per atom.